Below is crystalline K2ErAlTe4 at its relaxed geometry, with properties calculated at the GGA-PBE level.

Unit cell a=8.752 b=8.752 c=7.380 alpha=90.00 beta=90.00 gamma=90.00
Space group I-42m (No. 121)
Symmetry-distinct sites (fractional):
K 0.000 0.500 0.000
Er 0.000 0.000 0.000
Al 0.000 0.000 0.500
Te 0.172 0.172 0.722

raw formation energy	-994.5	meV/atom
crystal system	tetragonal



Below is crystalline LaErAl at its relaxed geometry, with properties calculated at the GGA-PBE level.

Unit cell a=3.518 b=3.518 c=13.761 alpha=90.00 beta=90.00 gamma=90.00
Space group I4mm (No. 107)
Symmetry-distinct sites (fractional):
La 0.000 0.000 0.000
Er 0.000 0.000 0.292
Al 0.000 0.000 0.657

formation energy	-0.218	eV per atom
excess energy over the best structure of this formula in the dataset	5	meV/atom
crystal system	tetragonal



Below is crystalline LaEr2Al at its relaxed geometry, with properties calculated at the GGA-PBE level.

Unit cell a=3.529 b=3.529 c=9.142 alpha=90.00 beta=90.00 gamma=90.00
Space group P4/mmm (No. 123)
Symmetry-distinct sites (fractional):
La 0.000 0.000 0.000
Er 0.500 0.500 0.296
Al 0.000 0.000 0.500

formation energy	-0.191	eV per atom
excess energy over the best structure of this formula in the dataset	0	meV/atom
crystal system	tetragonal



Below is crystalline LaEr3Al8 at its relaxed geometry, with properties calculated at the GGA-PBE level.

Unit cell a=5.5784 b=5.5784 c=9.1739 alpha=90.00 beta=90.00 gamma=120.00
Space group P3m1 (No. 156)
Symmetry-distinct sites (fractional):
La 0.0000 0.0000 0.0000
Er 0.0000 0.0000 0.3639
Er 0.6667 0.3333 0.4982
Er 0.6667 0.3333 0.8621
Al 0.1622 0.3244 0.6775
Al 0.3333 0.6667 0.4354
Al 0.3333 0.6667 0.9296
Al 0.5044 0.0089 0.1887

formation energy	-0.483	eV per atom
excess energy over the best structure of this formula in the dataset	8	meV/atom
crystal system	trigonal



Below is crystalline LaErAl at its relaxed geometry, with properties calculated at the GGA-PBE level.

Unit cell a=5.1414 b=5.1414 c=3.7030 alpha=90.00 beta=90.00 gamma=120.00
Space group P3m1 (No. 156)
Symmetry-distinct sites (fractional):
La 0.0000 0.0000 0.0000
Er 0.3333 0.6667 0.4361
Al 0.6667 0.3333 0.6217

formation energy	-0.143	eV per atom
excess energy over the best structure of this formula in the dataset	80	meV/atom
crystal system	trigonal



Below is crystalline LaEr3Al2 at its relaxed geometry, with properties calculated at the GGA-PBE level.

Unit cell a=3.532 b=3.532 c=12.675 alpha=90.00 beta=90.00 gamma=90.00
Space group P4/mmm (No. 123)
Symmetry-distinct sites (fractional):
La 0.000 0.000 0.000
Er 0.500 0.500 0.210
Er 0.500 0.500 0.500
Al 0.000 0.000 0.354

formation energy	-0.261	eV per atom
crystal system	tetragonal



Below is crystalline LaErAl at its relaxed geometry, with properties calculated at the GGA-PBE level.

Unit cell a=8.1682 b=8.1682 c=4.5973 alpha=90.00 beta=90.00 gamma=120.00
Space group P-62m (No. 189)
Symmetry-distinct sites (fractional):
La 0.0000 0.3985 0.0000
Er 0.0000 0.7394 0.5000
Al 0.0000 0.0000 0.0000
Al 0.3333 0.6667 0.5000

formation energy	-0.223	eV per atom
excess energy over the best structure of this formula in the dataset	0	meV/atom
crystal system	hexagonal



Below is crystalline LaEr2Al at its relaxed geometry, with properties calculated at the GGA-PBE level.

Unit cell a=4.830 b=4.830 c=4.792 alpha=90.00 beta=90.00 gamma=90.00
Space group P4/mmm (No. 123)
Symmetry-distinct sites (fractional):
La 0.000 0.000 0.000
Er 0.000 0.500 0.500
Al 0.500 0.500 0.000

formation energy	-0.153	eV per atom
excess energy over the best structure of this formula in the dataset	38	meV/atom
crystal system	tetragonal



Number 1: magnetization 0.00 μB per cell. Number 2: magnetization 0.00 μB per cell. Number 3: magnetization 0.00 μB per cell. Number 4: magnetization 0.00 μB per cell. Number 5: magnetization 0.00 μB per cell. Number 6: magnetization 0.00 μB per cell. Number 7: magnetization 1.38 μB per cell. Number 8: magnetization 0.01 μB per cell.